No. 1
Rb2CaTlCl6: optimized geometry, PBE.

The structure in CIF format:
```
data_Rb2CaTlCl6
_chemical_formula_sum 'Rb8 Ca4 Tl4 Cl24'
_space_group_name_H-M_alt 'F m -3 m'
_space_group_IT_number 225
_space_group_name_Hall '-F 4 2 3'
_cell_length_a 11.044
_cell_length_b 11.044
_cell_length_c 11.044
_cell_angle_alpha 90.00
_cell_angle_beta 90.00
_cell_angle_gamma 90.00
loop_
_atom_site_label
_atom_site_type_symbol
_atom_site_fract_x
_atom_site_fract_y
_atom_site_fract_z
Rb1 Rb 0.250 0.250 0.250
Ca1 Ca 0.000 0.000 0.000
Tl1 Tl 0.000 0.000 0.500
Cl1 Cl 0.000 0.000 0.245
```

* E_form (uncorrected): -1.686 eV/atom



No. 2
PuFeTcGe: optimized geometry, PBE.

The structure in CIF format:
```
data_PuFeTcGe
_chemical_formula_sum 'Pu4 Fe4 Tc4 Ge4'
_space_group_name_H-M_alt 'F -4 3 m'
_space_group_IT_number 216
_space_group_name_Hall 'F -4 2 3'
_cell_length_a 6.325
_cell_length_b 6.325
_cell_length_c 6.325
_cell_angle_alpha 90.00
_cell_angle_beta 90.00
_cell_angle_gamma 90.00
loop_
_atom_site_label
_atom_site_type_symbol
_atom_site_fract_x
_atom_site_fract_y
_atom_site_fract_z
Pu1 Pu 0.000 0.000 0.000
Fe1 Fe 0.250 0.250 0.250
Tc1 Tc 0.250 0.250 0.750
Ge1 Ge 0.000 0.000 0.500
```

* energy relative to the elements: -0.12 eV/atom
* relative energy among the computed polymorphs: 0.000 eV/atom



No. 3
Zr2BiSb: optimized geometry, PBE.

The structure in CIF format:
```
data_Zr2BiSb
_chemical_formula_sum 'Zr2 Bi1 Sb1'
_space_group_name_H-M_alt 'P 4/m m m'
_space_group_IT_number 123
_space_group_name_Hall '-P 4 2'
_cell_length_a 5.199
_cell_length_b 5.199
_cell_length_c 3.492
_cell_angle_alpha 90.00
_cell_angle_beta 90.00
_cell_angle_gamma 90.00
loop_
_atom_site_label
_atom_site_type_symbol
_atom_site_fract_x
_atom_site_fract_y
_atom_site_fract_z
Zr1 Zr 0.000 0.500 0.000
Bi1 Bi 0.000 0.000 0.500
Sb1 Sb 0.500 0.500 0.500
```

* E_form (uncorrected): -0.362 eV/atom



No. 4
TlZn3O: optimized geometry, PBE.

The structure in CIF format:
```
data_TlZn3O
_chemical_formula_sum 'Tl1 Zn3 O1'
_space_group_name_H-M_alt 'P m -3 m'
_space_group_IT_number 221
_space_group_name_Hall '-P 4 2 3'
_cell_length_a 5.096
_cell_length_b 5.096
_cell_length_c 5.096
_cell_angle_alpha 90.00
_cell_angle_beta 90.00
_cell_angle_gamma 90.00
loop_
_atom_site_label
_atom_site_type_symbol
_atom_site_fract_x
_atom_site_fract_y
_atom_site_fract_z
Tl1 Tl 0.000 0.000 0.000
Zn1 Zn 0.000 0.000 0.500
O1 O 0.500 0.500 0.500
```

* E_form (uncorrected): 0.876 eV/atom
* relative energy among the computed polymorphs: 0.932 eV/atom



No. 5
Cu2AuCl: optimized geometry, PBE.

The structure in CIF format:
```
data_Cu2AuCl
_chemical_formula_sum 'Cu4 Au2 Cl2'
_space_group_name_H-M_alt 'I m m m'
_space_group_IT_number 71
_space_group_name_Hall '-I 2 2'
_cell_length_a 2.948
_cell_length_b 6.684
_cell_length_c 7.936
_cell_angle_alpha 90.00
_cell_angle_beta 90.00
_cell_angle_gamma 90.00
loop_
_atom_site_label
_atom_site_type_symbol
_atom_site_fract_x
_atom_site_fract_y
_atom_site_fract_z
Cu1 Cu 0.000 0.000 0.235
Au1 Au 0.000 0.500 0.000
Cl1 Cl 0.000 0.500 0.500
```

* E_form (uncorrected): 0.175 eV/atom
* relative energy among the computed polymorphs: 0.275 eV/atom



No. 6
CaTi3Sb: optimized geometry, PBE.

The structure in CIF format:
```
data_CaTi3Sb
_chemical_formula_sum 'Ca1 Ti3 Sb1'
_space_group_name_H-M_alt 'P m -3 m'
_space_group_IT_number 221
_space_group_name_Hall '-P 4 2 3'
_cell_length_a 5.128
_cell_length_b 5.128
_cell_length_c 5.128
_cell_angle_alpha 90.00
_cell_angle_beta 90.00
_cell_angle_gamma 90.00
loop_
_atom_site_label
_atom_site_type_symbol
_atom_site_fract_x
_atom_site_fract_y
_atom_site_fract_z
Ca1 Ca 0.000 0.000 0.000
Ti1 Ti 0.000 0.500 0.500
Sb1 Sb 0.500 0.500 0.500
```

* E_form (uncorrected): 0.599 eV/atom
* relative energy among the computed polymorphs: 0.000 eV/atom



It is found that the magnetic moment values, taken in the order of the records, are 0.00 2.94 0.00 0.00 0.00 0.00 μB/f.u..
It is found that the volume values, taken in the order of the records, are 1347.1 253.0 94.4 132.3 156.4 134.9 Å³ per cell.